Entry from Alexandria via LeMat-Bulk: a relaxed structure of CdFeOs2 (PBE).

Results
Spin magnetization   2.3 μB/cell

POSCAR file:
```
CdFeOs2
1.0
-6.704 -6.177 1.803
-4.531 -7.885 1.913
-5.265 -6.435 4.151
Os Fe Cd
2 1 1
direct
0.257 0.257 0.257
0.001 0.001 0.001
0.744 0.744 0.744
0.498 0.498 0.498
```

---

Entry from Alexandria via LeMat-Bulk: a relaxed structure of CdFe2Os (PBE).

Results
Spin magnetization   5.2 μB/cell

POSCAR file:
```
CdFe2Os
1.0
-1.625 0.940 8.831
-0.685 -1.656 8.848
1.091 0.455 8.950
Os Cd Fe
1 1 2
direct
0.510 0.510 0.510
0.748 0.748 0.748
0.252 0.252 0.252
0.990 0.990 0.990
```

---

Entry from Alexandria via LeMat-Bulk: a relaxed structure of CdFe2Os (PBE).

Results
Spin magnetization   5.3 μB/cell

POSCAR file:
```
CdFe2Os
1.0
5.228 0.012 0.014
2.510 4.586 -0.014
-3.289 -3.276 2.405
Fe Os Cd
2 1 1
direct
0.243 0.743 0.500
0.020 0.020 0.000
0.480 0.480 0.000
0.757 0.257 0.500
```

---

Entry from Alexandria via LeMat-Bulk: a relaxed structure of CdFeOs2 (PBE).

Results
Spin magnetization   2.7 μB/cell

POSCAR file:
```
CdFeOs2
1.0
-1.913 -1.052 4.218
0.471 -2.467 4.031
2.225 3.387 2.738
Os Fe Cd
2 1 1
direct
0.741 0.741 0.800
0.000 0.000 0.982
0.258 0.258 0.236
0.501 0.501 0.482
```

---

no.,formation enthalpy at 0 K (eV per formula unit)
1,1.376
2,1.334
3,1.562
4,1.944